First-principles (PBE-GGA) data for a geometry-optimized BaZn2Sb structure, as listed in Alexandria via LeMat-Bulk.

Calculated values
Its total energy is -2.47 eV/atom. The density of states at the Fermi level comes out at 1.799 states/eV/f.u. The value obtained for the uncorrected formation energy is -31.2 kJ/mol of atoms.

Lattice parameters (Å, degrees): 4.789 5.059 5.188 89.79 90.00 90.00
Positions (direct):
Ba (0.500, 0.250, 0.250)
Sb (0.500, 0.750, 0.750)
Zn (0.000, 0.798, 0.016)
Zn (0.000, 0.702, 0.484)

---

First-principles (PBE-GGA) data for a geometry-optimized MnBeCuGe2 structure, as listed in Alexandria via LeMat-Bulk.

Calculated values
Its total energy is -4.69 eV/atom. The density of states at the Fermi level comes out at 2.488 states/eV/f.u.

Lattice parameters (Å, degrees): 4.431 4.134 4.431 90.00 90.00 90.00
Positions (direct):
Be (0.000, 0.000, 0.000)
Ge (0.000, 0.000, 0.500)
Ge (0.500, 0.000, 0.000)
Mn (0.500, 0.500, 0.500)
Cu (0.000, 0.500, 0.000)

---

First-principles (PBE-GGA) data for a geometry-optimized Na3TeF8 structure, as listed in Alexandria via LeMat-Bulk.

Calculated values
Its total energy is -4.19 eV/atom. The density of states at the Fermi level comes out at 3.623 states/eV/f.u. The value obtained for the uncorrected formation energy is -226.5 kJ/mol of atoms.

Lattice parameters (Å, degrees): 5.396 5.396 5.396 90.00 90.00 90.00
Positions (direct):
Na (0.500, 0.500, 0.000)
Na (0.500, 0.000, 0.500)
Na (0.000, 0.500, 0.500)
Te (0.000, 0.000, 0.000)
F (0.227, 0.227, 0.773)
F (0.227, 0.773, 0.227)
F (0.773, 0.227, 0.227)
F (0.773, 0.773, 0.773)
F (0.773, 0.773, 0.227)
F (0.773, 0.227, 0.773)
F (0.227, 0.773, 0.773)
F (0.227, 0.227, 0.227)

---

First-principles (PBE-GGA) data for a geometry-optimized K3Cd4In structure, as listed in Alexandria via LeMat-Bulk.

Calculated values
Its total energy is -1.28 eV/atom. The density of states at the Fermi level comes out at 4.864 states/eV/f.u.

Lattice parameters (Å, degrees): 7.612 7.612 7.612 118.21 82.85 130.68
Positions (direct):
K (0.565, 0.243, 0.808)
K (0.905, 0.000, 0.905)
K (0.565, 0.757, 0.322)
Cd (0.243, 0.692, 0.935)
Cd (0.243, 0.308, 0.551)
Cd (0.555, 0.251, 0.304)
Cd (0.053, 0.749, 0.304)
In (0.022, 0.500, 0.522)

---

First-principles (PBE-GGA) data for a geometry-optimized LiBeO2 structure, as listed in Alexandria via LeMat-Bulk.

Calculated values
Its total energy is -5.76 eV/atom. The density of states at the Fermi level comes out at 1.095 states/eV/f.u. The value obtained for the uncorrected formation energy is -180.0 kJ/mol of atoms.

Lattice parameters (Å, degrees): 4.072 4.072 5.143 66.68 66.68 90.00
Positions (direct):
Be (0.000, 0.000, 0.000)
Be (0.750, 0.250, 0.500)
O (0.708, 0.125, 0.250)
O (0.042, 0.625, 0.250)
O (0.375, 0.292, 0.750)
O (0.875, 0.958, 0.750)
Li (0.500, 0.500, 0.000)
Li (0.250, 0.750, 0.500)

---

First-principles (PBE-GGA) data for a geometry-optimized PmMnTlCl6 structure, as listed in Alexandria via LeMat-Bulk.

Calculated values
Its total energy is -4.39 eV/atom. The density of states at the Fermi level comes out at 8.695 states/eV/f.u. The value obtained for the uncorrected formation energy is -130.2 kJ/mol of atoms.

Lattice parameters (Å, degrees): 6.588 6.588 14.475 90.00 90.00 120.00
Positions (direct):
Pm (0.333, 0.667, 0.250)
Pm (0.667, 0.333, 0.750)
Mn (0.667, 0.333, 0.250)
Mn (0.333, 0.667, 0.750)
Tl (0.000, 0.000, 0.000)
Tl (0.000, 0.000, 0.500)
Cl (0.657, 0.616, 0.150)
Cl (0.959, 0.343, 0.150)
Cl (0.343, 0.959, 0.650)
Cl (0.041, 0.657, 0.850)
Cl (0.384, 0.343, 0.350)
Cl (0.959, 0.616, 0.350)
Cl (0.616, 0.959, 0.850)
Cl (0.657, 0.041, 0.350)
Cl (0.041, 0.384, 0.650)
Cl (0.384, 0.041, 0.150)
Cl (0.616, 0.657, 0.650)
Cl (0.343, 0.384, 0.850)

---

First-principles (PBE-GGA) data for a geometry-optimized InSb2Os structure, as listed in Alexandria via LeMat-Bulk.

Calculated values
Its total energy is -5.19 eV/atom. The density of states at the Fermi level comes out at 2.654 states/eV/f.u. The value obtained for the uncorrected formation energy is 34.6 kJ/mol of atoms.

Lattice parameters (Å, degrees): 7.209 7.209 7.209 153.95 144.35 44.68
Positions (direct):
In (0.435, 0.435, 0.000)
Os (0.229, 0.729, 0.500)
Sb (0.068, 0.068, 0.000)
Sb (0.767, 0.267, 0.500)

---

First-principles (PBE-GGA) data for a geometry-optimized Fe2MoH structure, as listed in Alexandria via LeMat-Bulk.

Calculated values
Its total energy is -7.50 eV/atom. The density of states at the Fermi level comes out at 4.049 states/eV/f.u. For the excess energy over the best structure of this formula in the dataset, the calculation gives 0.000 eV/atom.

Lattice parameters (Å, degrees): 4.928 4.928 4.823 59.27 59.27 90.00
Positions (direct):
H (0.500, 0.500, 0.000)
H (0.250, 0.750, 0.500)
Mo (0.000, 0.000, 0.000)
Mo (0.750, 0.250, 0.500)
Fe (0.462, 0.125, 0.250)
Fe (0.288, 0.625, 0.250)
Fe (0.375, 0.538, 0.750)
Fe (0.875, 0.712, 0.750)

---

First-principles (PBE-GGA) data for a geometry-optimized SrTi2Ni2 structure, as listed in Alexandria via LeMat-Bulk.

Calculated values
Its total energy is -5.72 eV/atom. The density of states at the Fermi level comes out at 4.432 states/eV/f.u. For the excess energy over the best structure of this formula in the dataset, the calculation gives 0.162 eV/atom.

Lattice parameters (Å, degrees): 7.691 7.691 2.915 90.00 90.00 90.00
Positions (direct):
Sr (0.000, 0.000, 0.000)
Sr (0.500, 0.500, 0.000)
Ti (0.360, 0.860, 0.000)
Ti (0.860, 0.640, 0.000)
Ti (0.640, 0.140, 0.000)
Ti (0.140, 0.360, 0.000)
Ni (0.134, 0.634, 0.500)
Ni (0.634, 0.866, 0.500)
Ni (0.866, 0.366, 0.500)
Ni (0.366, 0.134, 0.500)

---

First-principles (PBE-GGA) data for a geometry-optimized Sm3Al2Ag2 structure, as listed in Alexandria via LeMat-Bulk.

Calculated values
Its total energy is -4.20 eV/atom. The density of states at the Fermi level comes out at 5.779 states/eV/f.u.

Lattice parameters (Å, degrees): 4.293 3.561 11.416 90.00 79.16 90.00
Positions (direct):
Sm (0.841, 0.000, 0.319)
Sm (0.000, 0.000, 0.000)
Sm (0.159, 0.000, 0.681)
Al (0.719, 0.500, 0.563)
Al (0.281, 0.500, 0.437)
Ag (0.581, 0.500, 0.837)
Ag (0.419, 0.500, 0.163)

---

First-principles (PBE-GGA) data for a geometry-optimized Ba2SrCd10 structure, as listed in Alexandria via LeMat-Bulk.

Calculated values
Its total energy is -1.26 eV/atom. The density of states at the Fermi level comes out at 10.380 states/eV/f.u.

Lattice parameters (Å, degrees): 6.523 6.897 20.044 90.00 90.00 90.00
Positions (direct):
Ba (0.500, 0.342, 0.828)
Ba (0.500, 0.658, 0.172)
Ba (0.500, 0.842, 0.672)
Ba (0.500, 0.158, 0.328)
Sr (0.000, 0.500, 0.500)
Sr (0.000, 0.000, 0.000)
Cd (0.000, 0.036, 0.570)
Cd (0.000, 0.964, 0.430)
Cd (0.000, 0.536, 0.930)
Cd (0.000, 0.464, 0.070)
Cd (0.000, 0.043, 0.721)
Cd (0.000, 0.957, 0.279)
Cd (0.275, 0.165, 0.150)
Cd (0.275, 0.835, 0.850)
Cd (0.725, 0.665, 0.350)
Cd (0.725, 0.335, 0.650)
Cd (0.725, 0.835, 0.850)
Cd (0.725, 0.165, 0.150)
Cd (0.275, 0.335, 0.650)
Cd (0.275, 0.665, 0.350)
Cd (0.000, 0.824, 0.147)
Cd (0.000, 0.176, 0.853)
Cd (0.000, 0.324, 0.353)
Cd (0.000, 0.676, 0.647)
Cd (0.000, 0.457, 0.221)
Cd (0.000, 0.543, 0.779)

---

First-principles (PBE-GGA) data for a geometry-optimized NaCuPd2O4 structure, as listed in Alexandria via LeMat-Bulk.

Calculated values
Its total energy is -5.00 eV/atom. The density of states at the Fermi level comes out at 7.167 states/eV/f.u. The value obtained for the uncorrected formation energy is -52.3 kJ/mol of atoms.

Lattice parameters (Å, degrees): 5.072 5.072 5.072 100.09 114.36 114.36
Positions (direct):
Na (0.000, 0.000, 0.000)
Cu (0.000, 0.500, 0.500)
Pd (0.500, 0.750, 0.250)
Pd (0.500, 0.250, 0.750)
O (0.000, 0.110, 0.476)
O (0.634, 0.524, 0.524)
O (0.366, 0.890, 0.890)
O (0.000, 0.476, 0.110)

---

First-principles (PBE-GGA) data for a geometry-optimized FeCoSb2 structure, as listed in Alexandria via LeMat-Bulk.

Calculated values
Its total energy is -5.79 eV/atom. The density of states at the Fermi level comes out at 0.955 states/eV/f.u. The value obtained for the uncorrected formation energy is 15.6 kJ/mol of atoms.

Lattice parameters (Å, degrees): 3.584 3.581 5.247 90.00 90.00 90.00
Positions (direct):
Co (0.000, 0.000, 0.449)
Fe (0.500, 0.500, 0.796)
Sb (0.000, 0.000, 0.939)
Sb (0.500, 0.500, 0.316)

---

First-principles (PBE-GGA) data for a geometry-optimized Ba2CaTi structure, as listed in Alexandria via LeMat-Bulk.

Calculated values
Its total energy is -2.72 eV/atom. The density of states at the Fermi level comes out at 8.168 states/eV/f.u. For the excess energy over the best structure of this formula in the dataset, the calculation gives 0.091 eV/atom.

Lattice parameters (Å, degrees): 9.708 9.708 7.754 51.24 51.24 90.00
Positions (direct):
Ca (0.500, 0.500, 0.000)
Ca (0.250, 0.750, 0.500)
Ba (0.653, 0.125, 0.250)
Ba (0.097, 0.625, 0.250)
Ba (0.375, 0.347, 0.750)
Ba (0.875, 0.903, 0.750)
Ti (0.000, 0.000, 0.000)
Ti (0.750, 0.250, 0.500)

---

First-principles (PBE-GGA) data for a geometry-optimized NaCd2GaTe4 structure, as listed in Alexandria via LeMat-Bulk.

Calculated values
Its total energy is -2.86 eV/atom. The value obtained for the uncorrected formation energy is -49.6 kJ/mol of atoms.

Lattice parameters (Å, degrees): 6.816 6.816 7.807 115.86 115.86 90.06
Positions (direct):
Na (0.000, 0.000, 0.001)
Cd (0.750, 0.250, 0.500)
Cd (0.250, 0.750, 0.500)
Ga (0.500, 0.500, 0.000)
Te (0.604, 0.604, 0.754)
Te (0.397, 0.849, 0.246)
Te (0.849, 0.397, 0.246)
Te (0.150, 0.150, 0.754)

---

First-principles (PBE-GGA) data for a geometry-optimized CrHg2Ru structure, as listed in Alexandria via LeMat-Bulk.

Calculated values
Its total energy is -4.34 eV/atom. The density of states at the Fermi level comes out at 5.889 states/eV/f.u. For the excess energy over the best structure of this formula in the dataset, the calculation gives 0.245 eV/atom.

Lattice parameters (Å, degrees): 5.036 5.036 5.036 131.35 131.34 71.26
Positions (direct):
Cr (0.250, 0.750, 0.500)
Hg (0.000, 0.000, 0.000)
Hg (0.500, 0.500, 0.000)
Ru (0.750, 0.250, 0.500)

---

First-principles (PBE-GGA) data for a geometry-optimized GaHg structure, as listed in Alexandria via LeMat-Bulk.

Calculated values
Its total energy is -1.58 eV/atom. The density of states at the Fermi level comes out at 0.481 states/eV/f.u.

Lattice parameters (Å, degrees): 5.753 5.753 5.803 90.00 90.00 90.00
Positions (direct):
Ga (0.292, 0.708, 0.000)
Ga (0.792, 0.792, 0.500)
Ga (0.208, 0.208, 0.500)
Ga (0.708, 0.292, 0.000)
Hg (0.210, 0.210, 0.000)
Hg (0.710, 0.290, 0.500)
Hg (0.290, 0.710, 0.500)
Hg (0.790, 0.790, 0.000)

---

First-principles (PBE-GGA) data for a geometry-optimized ZrCdAgIr structure, as listed in Alexandria via LeMat-Bulk.

Calculated values
Its total energy is -5.52 eV/atom. The density of states at the Fermi level comes out at 3.125 states/eV/f.u.

Lattice parameters (Å, degrees): 4.705 4.705 4.705 60.00 60.00 60.00
Positions (direct):
Ir (0.500, 0.500, 0.500)
Zr (0.250, 0.250, 0.250)
Ag (0.000, 0.000, 0.000)
Cd (0.750, 0.750, 0.750)

---

First-principles (PBE-GGA) data for a geometry-optimized SmDy3Er structure, as listed in Alexandria via LeMat-Bulk.

Calculated values
Its total energy is -4.32 eV/atom. The density of states at the Fermi level comes out at 8.081 states/eV/f.u. For the excess energy over the best structure of this formula in the dataset, the calculation gives 0.248 eV/atom.

Lattice parameters (Å, degrees): 3.600 8.516 11.567 90.00 90.00 102.17
Positions (direct):
Sm (0.006, 0.513, 0.250)
Sm (0.994, 0.487, 0.750)
Dy (0.844, 0.189, 0.001)
Dy (0.156, 0.811, 0.999)
Dy (0.844, 0.189, 0.499)
Dy (0.156, 0.811, 0.501)
Dy (0.679, 0.859, 0.250)
Dy (0.321, 0.141, 0.750)
Er (0.338, 0.177, 0.250)
Er (0.662, 0.823, 0.750)

---

First-principles (PBE-GGA) data for a geometry-optimized Li4CdGa structure, as listed in Alexandria via LeMat-Bulk.

Calculated values
Its total energy is -2.00 eV/atom. The density of states at the Fermi level comes out at 3.074 states/eV/f.u. For the excess energy over the best structure of this formula in the dataset, the calculation gives 0.161 eV/atom.

Lattice parameters (Å, degrees): 5.231 5.231 5.231 60.00 60.00 60.00
Positions (direct):
Li (0.626, 0.626, 0.123)
Li (0.626, 0.123, 0.626)
Li (0.626, 0.626, 0.626)
Li (0.123, 0.626, 0.626)
Ga (0.000, 0.000, 0.000)
Cd (0.250, 0.250, 0.250)

---

First-principles (PBE-GGA) data for a geometry-optimized Ba3PtAu structure, as listed in Alexandria via LeMat-Bulk.

Calculated values
Its total energy is -3.43 eV/atom. The density of states at the Fermi level comes out at 2.771 states/eV/f.u. For the excess energy over the best structure of this formula in the dataset, the calculation gives 0.198 eV/atom.

Lattice parameters (Å, degrees): 6.102 6.102 6.102 90.00 90.00 90.00
Positions (direct):
Au (0.500, 0.500, 0.500)
Ba (0.000, 0.500, 0.000)
Ba (0.000, 0.000, 0.500)
Ba (0.500, 0.000, 0.000)
Pt (0.000, 0.000, 0.000)

---

First-principles (PBE-GGA) data for a geometry-optimized AsOs3 structure, as listed in Alexandria via LeMat-Bulk.

Calculated values
Its total energy is -8.99 eV/atom. The density of states at the Fermi level comes out at 2.699 states/eV/f.u. For the excess energy over the best structure of this formula in the dataset, the calculation gives 0.344 eV/atom.

Lattice parameters (Å, degrees): 4.678 4.678 4.678 130.16 130.16 73.15
Positions (direct):
As (0.000, 0.000, 0.000)
Os (0.250, 0.750, 0.500)
Os (0.500, 0.500, 0.000)
Os (0.750, 0.250, 0.500)

---

First-principles (PBE-GGA) data for a geometry-optimized Pr2Ho7 structure, as listed in Alexandria via LeMat-Bulk.

Calculated values
Its total energy is -4.60 eV/atom. The density of states at the Fermi level comes out at 12.844 states/eV/f.u.

Lattice parameters (Å, degrees): 6.179 6.179 8.724 90.00 90.00 120.00
Positions (direct):
Pr (0.333, 0.667, 0.000)
Pr (0.667, 0.333, 0.000)
Ho (0.000, 0.000, 0.000)
Ho (0.668, 0.000, 0.337)
Ho (0.000, 0.668, 0.337)
Ho (0.332, 0.332, 0.337)
Ho (0.000, 0.332, 0.663)
Ho (0.332, 0.000, 0.663)
Ho (0.668, 0.668, 0.663)

---

First-principles (PBE-GGA) data for a geometry-optimized SiAs2PSe structure, as listed in Alexandria via LeMat-Bulk.

Calculated values
Its total energy is -3.89 eV/atom. The density of states at the Fermi level comes out at 3.592 states/eV/f.u. The value obtained for the uncorrected formation energy is 80.1 kJ/mol of atoms. For the excess energy over the best structure of this formula in the dataset, the calculation gives 0.000 eV/atom.

Lattice parameters (Å, degrees): 4.699 4.699 4.930 90.00 90.00 90.00
Positions (direct):
P (0.000, 0.000, 0.000)
As (0.000, 0.500, 0.000)
As (0.500, 0.000, 0.000)
Si (0.500, 0.500, 0.500)
Se (0.000, 0.000, 0.500)

---

First-principles (PBE-GGA) data for a geometry-optimized SmZn2SiNi2 structure, as listed in Alexandria via LeMat-Bulk.

Calculated values
Its total energy is -4.35 eV/atom. The density of states at the Fermi level comes out at 4.867 states/eV/f.u. The value obtained for the uncorrected formation energy is -29.6 kJ/mol of atoms.

Lattice parameters (Å, degrees): 4.284 4.284 5.618 90.00 90.00 90.00
Positions (direct):
Sm (0.000, 0.000, 0.500)
Zn (0.500, 0.500, 0.739)
Zn (0.500, 0.500, 0.261)
Si (0.000, 0.000, 0.000)
Ni (0.500, 0.000, 0.000)
Ni (0.000, 0.500, 0.000)